[1]
Entry from the Alexandria database: a relaxed Hg2PBr crystal (PBE).

Unit cell a=5.1102 b=5.1102 c=5.1102 alpha=60.00 beta=60.00 gamma=60.00
Fractional positions:
Hg 0.2500 0.2500 0.2500
Hg 0.7500 0.7500 0.7500
P 0.0000 0.0000 0.0000
Br 0.5000 0.5000 0.5000

## Properties
Magnetic moment ... 0.000 μB/cell
Raw formation energy ... 0.5370 eV per atom
Offset from the most stable computed form ... 0.731 eV per atom

[2]
Entry from the Alexandria database: a relaxed AcLa2TbPm2 crystal (PBE).

Unit cell a=5.8609 b=10.1666 c=7.3335 alpha=90.00 beta=90.00 gamma=90.00
Fractional positions:
Ac 0.0000 0.0002 0.0000
Ac 0.0000 0.9998 0.5000
La 0.0000 0.3348 0.2505
La 0.0000 0.6652 0.7505
La 0.5000 0.4997 0.0002
La 0.5000 0.5003 0.5002
Tb 0.5000 0.1671 0.7498
Tb 0.5000 0.8329 0.2498
Pm 0.0000 0.3352 0.7501
Pm 0.0000 0.6648 0.2501
Pm 0.5000 0.1700 0.2501
Pm 0.5000 0.8300 0.7501

## Properties
Magnetic moment ... 0.000 μB/cell
Energy of formation ... 30 kJ/mol of formula units

[3]
Entry from the Alexandria database: a relaxed Al2GaTe4 crystal (PBE).

Unit cell a=6.7947 b=6.7947 c=6.7947 alpha=104.54 beta=104.54 gamma=119.86
Fractional positions:
Al 0.2500 0.7500 0.5000
Al 0.7500 0.2500 0.5000
Ga 0.0000 0.0000 0.0000
Te 0.1721 0.3243 0.4964
Te 0.3243 0.8279 0.1522
Te 0.6757 0.1721 0.8478
Te 0.8279 0.6757 0.5036

## Properties
Magnetic moment ... 0.000 μB/cell
Raw formation energy ... -0.2641 eV per atom

[4]
Entry from the Alexandria database: a relaxed BaYSc2 crystal (PBE).

Unit cell a=5.4895 b=7.0662 c=7.0662 alpha=28.84 beta=90.00 gamma=90.00
Fractional positions:
Ba 0.0000 0.0000 0.0000
Y 0.5000 0.3337 0.3337
Sc 0.0000 0.7399 0.7399
Sc 0.5000 0.6275 0.6275

## Properties
Magnetic moment ... 0.206 μB/cell
Energy of formation ... 102 kJ/mol of formula units
Offset from the most stable computed form ... 0.071 eV per atom